No. 1
The following is a PBEsol calculation of a geometry-optimized Ta2AlSe structure, from Alexandria via LeMat-Bulk.

The structure in CIF format:
```
data_Ta2AlSe
_cell_length_a 3.534
_cell_length_b 4.669
_cell_length_c 8.841
_cell_angle_alpha 90.00
_cell_angle_beta 90.00
_cell_angle_gamma 90.00
_space_group_name_H-M_alt 'C m m 2'
_space_group_IT_number 35
loop_
_space_group_symop_operation_xyz
'x,y,z'
'-x,-y,z'
'-x,y,z'
'x,-y,z'
'x+1/2,y+1/2,z'
'-x+1/2,-y+1/2,z'
'-x+1/2,y+1/2,z'
'x+1/2,-y+1/2,z'
loop_
_atom_site_label
_atom_site_type_symbol
_atom_site_fract_x
_atom_site_fract_y
_atom_site_fract_z
_atom_site_occupancy
Ta1 Ta 0.000 0.000 0.000 1
Ta2 Ta 0.000 0.500 0.246 1
Al1 Al 0.000 0.000 0.477 1
Se1 Se 0.000 0.500 0.783 1
```

***

No. 2
The following is a PBEsol calculation of a geometry-optimized TaAlSe structure, from Alexandria via LeMat-Bulk.

The structure in CIF format:
```
data_TaAlSe
_cell_length_a 6.245
_cell_length_b 6.245
_cell_length_c 6.245
_cell_angle_alpha 90.00
_cell_angle_beta 90.00
_cell_angle_gamma 90.00
_space_group_name_H-M_alt 'F -4 3 m'
_space_group_IT_number 216
_space_group_name_Hall 'F -4 2 3'
loop_
_atom_site_label
_atom_site_type_symbol
_atom_site_fract_x
_atom_site_fract_y
_atom_site_fract_z
_atom_site_occupancy
Ta1 Ta 0.000 0.000 0.000 1
Al1 Al 0.250 0.250 0.750 1
Se1 Se 0.250 0.250 0.250 1
```

***

No. 3
The following is a PBEsol calculation of a geometry-optimized Ta2AlSe structure, from Alexandria via LeMat-Bulk.

The structure in CIF format:
```
data_Ta2AlSe
_cell_length_a 3.034
_cell_length_b 3.034
_cell_length_c 7.149
_cell_angle_alpha 90.00
_cell_angle_beta 90.00
_cell_angle_gamma 90.00
_space_group_name_H-M_alt 'P 4/m m m'
_space_group_IT_number 123
_space_group_name_Hall '-P 4 2'
loop_
_atom_site_label
_atom_site_type_symbol
_atom_site_fract_x
_atom_site_fract_y
_atom_site_fract_z
_atom_site_occupancy
Ta1 Ta 0.000 0.000 0.236 1
Al1 Al 0.500 0.500 0.500 1
Se1 Se 0.500 0.500 0.000 1
```

***

Going through the records in order, we get spin magnetization values of 0.001, 0.000, 0.000 μB per formula unit.
Going through the records in order, we get energy values of -8.29, -6.30, -8.40 eV per atom.
Going through the records in order, we get raw formation energy values of -0.02, 0.53, -0.14 eV/atom.